No. 1
Li2NbTcC: optimized geometry, PBE.

- Calculated formation energy: 1.2624 eV/atom

Cell: 4.2440 4.2440 3.9016 Å, 90.00 90.00 90.00°
Last column: nearest neighbours and their distance in Å.
Atoms (fractional coordinates):
Li 0.0000 0.5000 0.0000  2 Tc 2.12
Li 0.5000 0.0000 0.0000  2 Tc 2.12
Nb 0.0000 0.0000 0.5000  8 Li 2.88, 4 C 3.00
Tc 0.5000 0.5000 0.0000  2 C 1.95, 4 Li 2.12
C 0.5000 0.5000 0.5000  2 Tc 1.95

No. 2
Sb2SIN: optimized geometry, PBE.

- Formation energy without anion corrections: 0.925 eV per atom
- Offset from the most stable computed form: 0 meV per atom

Cell: 4.9239 4.9239 4.6648 Å, 90.00 90.00 90.00°
Last column: nearest neighbours and their distance in Å.
Atoms (fractional coordinates):
Sb 0.0000 0.5000 0.0000  2 N 2.46
Sb 0.5000 0.0000 0.0000  2 N 2.46
S 0.0000 0.0000 0.5000  8 Sb 3.39, 4 I 3.48
I 0.5000 0.5000 0.5000  2 N 2.33
N 0.5000 0.5000 0.0000  2 I 2.33, 4 Sb 2.46

No. 3
TbCeBeZn: optimized geometry, PBE.

- Calculated formation energy: -0.0165 eV/atom

Cell: 4.9767 4.9767 4.9767 Å, 60.00 60.00 60.00°
Last column: nearest neighbours and their distance in Å.
Atoms (fractional coordinates):
Tb 0.0000 0.0000 0.0000  4 Be 3.05, 4 Zn 3.05
Ce 0.5000 0.5000 0.5000  4 Be 3.05, 4 Zn 3.05
Be 0.7500 0.7500 0.7500  4 Tb 3.05, 4 Ce 3.05
Zn 0.2500 0.2500 0.2500  4 Tb 3.05, 4 Ce 3.05

No. 4
MgBeF: optimized geometry, PBE.

- Formation energy without anion corrections: -1.269 eV per atom
- Offset from the most stable computed form: 76 meV per atom

Cell: 4.8424 2.9802 5.9475 Å, 90.00 106.65 90.00°
Last column: nearest neighbours and their distance in Å.
Atoms (fractional coordinates):
Mg 0.2318 0.2500 0.1890  2 F 2.12
Mg 0.7682 0.7500 0.8110  2 F 2.12
Be 0.1090 0.2500 0.6299  1 F 1.62
Be 0.8910 0.7500 0.3701  1 F 1.62
F 0.4474 0.2500 0.7732  1 Be 1.62
F 0.5526 0.7500 0.2268  1 Be 1.62

No. 5
MnZnCoAg: optimized geometry, PBE.

- Calculated formation energy: 0.1684 eV/atom

Cell: 4.2984 4.2984 4.2984 Å, 60.00 60.00 60.00°
Last column: nearest neighbours and their distance in Å.
Atoms (fractional coordinates):
Mn 0.0000 0.0000 0.0000  4 Ag 2.63, 4 Co 2.63
Zn 0.5000 0.5000 0.5000  4 Co 2.63, 4 Ag 2.63
Co 0.2500 0.2500 0.2500  4 Mn 2.63, 4 Zn 2.63
Ag 0.7500 0.7500 0.7500  4 Mn 2.63, 4 Zn 2.63

No. 6
KCa3Sb: optimized geometry, PBE.

- Formation energy without anion corrections: -0.274 eV per atom
- Offset from the most stable computed form: 0 meV per atom

Cell: 6.1487 6.1487 6.1487 Å, 90.00 90.00 90.00°
Last column: nearest neighbours and their distance in Å.
Atoms (fractional coordinates):
K 0.0000 0.0000 0.0000  12 Ca 4.35
Ca 0.0000 0.5000 0.5000  2 Sb 3.07
Ca 0.5000 0.0000 0.5000  2 Sb 3.07
Ca 0.5000 0.5000 0.0000  2 Sb 3.07
Sb 0.5000 0.5000 0.5000  6 Ca 3.07

No. 7
CsSrW2Au: optimized geometry, PBE.

- Calculated formation energy: 2.4841 eV/atom

Cell: 6.3325 6.3325 5.9636 Å, 90.00 90.00 90.00°
Last column: nearest neighbours and their distance in Å.
Atoms (fractional coordinates):
Cs 0.0000 0.0000 0.0000  8 W 4.35, 4 Au 4.48
Sr 0.5000 0.5000 0.5000  2 Au 2.98, 4 W 3.17
W 0.0000 0.5000 0.5000  2 Sr 3.17
W 0.5000 0.0000 0.5000  2 Sr 3.17
Au 0.5000 0.5000 0.0000  2 Sr 2.98

No. 8
Pm3YRu8: optimized geometry, PBE.

- Calculated formation energy: -0.2002 eV/atom

Cell: 9.3749 9.3749 9.3749 Å, 33.37 33.37 33.37°
Last column: nearest neighbours and their distance in Å.
Atoms (fractional coordinates):
Pm 0.0000 0.0000 0.0000  12 Ru 3.14-3.19, 4 Pm 3.30-3.31
Pm 0.1249 0.1249 0.1249  12 Ru 3.14-3.18, 3 Y 3.30, 1 Pm 3.31
Pm 0.6251 0.6251 0.6251  12 Ru 3.16-3.19, 3 Pm 3.30, 1 Y 3.31
Y 0.5004 0.5004 0.5004  12 Ru 3.14-3.16, 4 Pm 3.30-3.31
Ru 0.0589 0.5667 0.5667  6 Ru 2.65-2.75
Ru 0.0667 0.0667 0.5539  6 Ru 2.62-2.77
Ru 0.0667 0.5539 0.0667  6 Ru 2.62-2.77
Ru 0.3167 0.3167 0.3167  6 Ru 2.66-2.77
Ru 0.5539 0.0667 0.0667  6 Ru 2.62-2.77
Ru 0.5667 0.0589 0.5667  6 Ru 2.65-2.75
Ru 0.5667 0.5667 0.0589  6 Ru 2.65-2.75
Ru 0.8170 0.8170 0.8170  6 Ru 2.63-2.75